Entry 1:
Computed, not measured: LiY3Ir at its PBEsol-relaxed geometry at the SCAN level of DFT.

Geometry as POSCAR:
```
LiY3Ir
1.0
-4.314 1.583 1.539
-2.187 -3.523 -2.507
0.300 -2.927 3.851
Y Ir Li
3 1 1
direct
0.000 0.500 0.000
0.000 0.000 0.500
0.500 0.000 0.000
0.500 0.500 0.500
0.000 0.000 0.000
```

Values from the calculation:
crystal system = cubic
space-group type = Pm-3m (221)
M_tot = 0.00 μB/atom
DFT formation energy = 0.71 eV/atom
E = -153.48 eV for the cell shown

---

Entry 2:
Computed, not measured: NbTl2CoGe at its PBEsol-relaxed geometry at the SCAN level of DFT.

Geometry as POSCAR:
```
NbTl2CoGe
1.0
4.316 0.000 0.000
0.000 4.916 0.000
0.000 0.000 4.916
Co Tl Ge Nb
1 2 1 1
direct
0.000 0.000 0.000
0.000 0.000 0.500
0.000 0.500 0.000
0.500 0.000 0.000
0.500 0.500 0.500
```

Values from the calculation:
crystal system = tetragonal
space-group type = P4/mmm (123)
M_tot = 0.62 μB/atom
DFT formation energy = 0.82 eV/atom
E = -210.13 eV for the cell shown

---

Entry 3:
Computed, not measured: RbScMnB2 at its PBEsol-relaxed geometry at the SCAN level of DFT.

Geometry as POSCAR:
```
RbScMnB2
1.0
-1.784 3.744 0.407
-1.673 -1.192 3.625
3.630 1.493 2.166
Sc B Mn Rb
1 2 1 1
direct
0.000 0.000 0.500
0.000 0.500 0.000
0.500 0.000 0.000
0.000 0.000 0.000
0.500 0.500 0.500
```

Values from the calculation:
crystal system = tetragonal
space-group type = P4/mmm (123)
M_tot = 0.09 μB/atom
DFT formation energy = 0.83 eV/atom
E = -63.92 eV for the cell shown